No. 1
Below is an optimized crystal structure of Li3YP, with properties calculated at the PBE level.

abc: 4.5956 4.5956 4.5956
angles: 90.00 90.00 90.00
Sites, in units of the cell vectors:
Li  0.0000  0.0000  0.5000
Li  0.0000  0.5000  0.0000
Li  0.5000  0.0000  0.0000
Y  0.5000  0.5000  0.5000
P  0.0000  0.0000  0.0000

- Total magnetization: 0.00 μB per formula unit
- Energy above the most stable polymorph in this dataset: 0 meV per atom
- Calculated density: 2.41 g/cm3
- DFT formation energy: -0.14 eV per atom



No. 2
Below is an optimized crystal structure of GdHoBeRu, with properties calculated at the PBE level.

abc: 4.8380 4.8380 4.8380
angles: 60.00 60.00 60.00
Sites, in units of the cell vectors:
Gd  0.0000  0.0000  0.0000
Ho  0.5000  0.5000  0.5000
Be  0.7500  0.7500  0.7500
Ru  0.2500  0.2500  0.2500

- Total magnetization: 6.97 μB per formula unit
- Calculated density: 8.96 g/cm3
- DFT formation energy: -0.12 eV per atom